# 1
First-principles (PBEsol) data for a relaxed structure of Rb2Si2Pd, as listed in Alexandria.

E	-3.569	eV/atom
N(E_F)	3.26	states/eV/cell

Structure (extended XYZ):
```
10
Lattice="3.4659 0.0000 0.0000 0.0000 3.4659 0.0000 0.0000 0.0000 21.7150" Properties=species:S:1:pos:R:3 pbc="T T T"
Rb 0.0000 0.0000 2.2233
Rb 0.0000 0.0000 19.4917
Rb 1.7329 1.7329 8.6342
Rb 1.7329 1.7329 13.0808
Si 0.0000 1.7329 5.4287
Si 0.0000 1.7329 16.2862
Si 1.7329 0.0000 5.4287
Si 1.7329 0.0000 16.2862
Pd 0.0000 0.0000 10.8575
Pd 1.7329 1.7329 0.0000
```

# 2
First-principles (PBEsol) data for a relaxed structure of RbSnPd3, as listed in Alexandria.

E	-4.373	eV/atom
N(E_F)	4.80	states/eV/cell

Structure (extended XYZ):
```
5
Lattice="5.0273 0.0000 0.0000 0.0000 5.0273 0.0000 0.0000 0.0000 5.0273" Properties=species:S:1:pos:R:3 pbc="T T T"
Rb 0.0000 0.0000 0.0000
Sn 2.5136 2.5136 2.5136
Pd 0.0000 2.5136 2.5136
Pd 2.5136 0.0000 2.5136
Pd 2.5136 2.5136 0.0000
```

# 3
First-principles (PBEsol) data for a relaxed structure of Rb3SnPd, as listed in Alexandria.

E	-1.938	eV/atom
N(E_F)	16.37	states/eV/cell

Structure (extended XYZ):
```
5
Lattice="6.7538 0.0000 0.0000 0.0000 6.7538 0.0000 0.0000 0.0000 6.7538" Properties=species:S:1:pos:R:3 pbc="T T T"
Rb 0.0000 0.0000 3.3769
Rb 0.0000 3.3769 0.0000
Rb 3.3769 0.0000 0.0000
Sn 0.0000 0.0000 0.0000
Pd 3.3769 3.3769 3.3769
```

# 4
First-principles (PBEsol) data for a relaxed structure of RbSr3Pd, as listed in Alexandria.

E	-2.693	eV/atom
N(E_F)	3.82	states/eV/cell

Structure (extended XYZ):
```
5
Lattice="6.1014 0.0000 0.0000 0.0000 6.1014 0.0000 0.0000 0.0000 6.1014" Properties=species:S:1:pos:R:3 pbc="T T T"
Rb 0.0000 0.0000 0.0000
Sr 0.0000 3.0507 3.0507
Sr 3.0507 0.0000 3.0507
Sr 3.0507 3.0507 0.0000
Pd 3.0507 3.0507 3.0507
```

# 5
First-principles (PBEsol) data for a relaxed structure of RbSrPd3, as listed in Alexandria.

E	-3.458	eV/atom
N(E_F)	2.10	states/eV/cell

Structure (extended XYZ):
```
5
Lattice="5.3226 0.0000 0.0000 0.0000 5.3226 0.0000 0.0000 0.0000 5.3226" Properties=species:S:1:pos:R:3 pbc="T T T"
Rb 0.0000 0.0000 0.0000
Sr 2.6613 2.6613 2.6613
Pd 0.0000 2.6613 2.6613
Pd 2.6613 0.0000 2.6613
Pd 2.6613 2.6613 0.0000
```

# 6
First-principles (PBEsol) data for a relaxed structure of RbTcPd3, as listed in Alexandria.

E	-3.750	eV/atom
N(E_F)	3.58	states/eV/cell

Structure (extended XYZ):
```
5
Lattice="4.9017 0.0000 0.0000 0.0000 4.9017 0.0000 0.0000 0.0000 4.9017" Properties=species:S:1:pos:R:3 pbc="T T T"
Rb 0.0000 0.0000 0.0000
Tc 2.4509 2.4509 2.4509
Pd 0.0000 0.0000 2.4509
Pd 0.0000 2.4509 0.0000
Pd 2.4509 0.0000 0.0000
```

# 7
First-principles (PBEsol) data for a relaxed structure of RbTe2Pd2, as listed in Alexandria.

E	-4.502	eV/atom
N(E_F)	6.99	states/eV/cell

Structure (extended XYZ):
```
10
Lattice="4.5103 0.0000 0.0000 0.0000 4.5103 0.0000 0.0000 0.0000 12.7233" Properties=species:S:1:pos:R:3 pbc="T T T"
Rb 0.0000 0.0000 0.0000
Rb 2.2552 2.2552 6.3616
Te 0.0000 0.0000 4.5889
Te 0.0000 0.0000 8.1344
Te 2.2552 2.2552 1.7727
Te 2.2552 2.2552 10.9506
Pd 0.0000 2.2552 3.1808
Pd 0.0000 2.2552 9.5425
Pd 2.2552 0.0000 3.1808
Pd 2.2552 0.0000 9.5425
```

# 8
First-principles (PBEsol) data for a relaxed structure of Rb2YTiPd, as listed in Alexandria.

E	-3.194	eV/atom
N(E_F)	5.31	states/eV/cell

Structure (extended XYZ):
```
5
Lattice="5.7408 0.0000 0.0000 0.0000 5.7408 0.0000 0.0000 0.0000 5.5375" Properties=species:S:1:pos:R:3 pbc="T T T"
Rb 0.0000 2.8704 0.0000
Rb 2.8704 0.0000 0.0000
Y 0.0000 0.0000 2.7688
Ti 0.0000 0.0000 0.0000
Pd 2.8704 2.8704 2.7688
```

Q: E of number 5 (RbSrPd3)?
A: -3.458 eV/atom